## a
DFT (PBE) results for an optimized crystal structure of Li2Tb2Tl.

For the total magnetic moment, the calculation gives 0.0 μB per formula unit.

It has space group C2/m (No. 12), with a = 11.083 Å, b = 5.145 Å, c = 9.065 Å, α = 90.00°, β = 109.34° and γ = 90.00°. The distinct sites, in fractional coordinates, are Li at (0.023, 0.000, 0.366), Li at (0.143, 0.000, 0.076), Tb at (0.042, 0.500, 0.845), Tb at (0.166, 0.500, 0.559) and Tl at (0.238, 0.000, 0.786).

=====

## b
DFT (PBE) results for an optimized crystal structure of Li2Tb2Tl.

For the total magnetic moment, the calculation gives 0.0 μB per formula unit.

It has space group C2/m (No. 12), with a = 8.771 Å, b = 5.075 Å, c = 5.999 Å, α = 90.00°, β = 119.26° and γ = 90.00°. The distinct sites, in fractional coordinates, are Li at (0.088, 0.000, 0.263), Tb at (0.223, 0.500, 0.167) and Tl at (0.000, 0.500, 0.500).

=====

Most stable: a (next structure +17 meV/atom)

=====

## a
DFT (PBE) results for an optimized crystal structure of LiTb2Tl3.

For the total magnetic moment, the calculation gives 0.0 μB per formula unit.

It has space group P-3m1 (No. 164), with a = 5.2497 Å, b = 5.2497 Å, c = 13.0271 Å, α = 90.00°, β = 90.00° and γ = 120.00°. The distinct sites, in fractional coordinates, are Li at (0.3333, 0.6667, 0.1593), Tb at (0.0000, 0.0000, 0.0000), Tb at (0.0000, 0.0000, 0.5000), Tb at (0.3333, 0.6667, 0.6767), Tl at (0.0000, 0.0000, 0.2439), Tl at (0.3333, 0.6667, 0.4102) and Tl at (0.3333, 0.6667, 0.9196).

=====

## b
DFT (PBE) results for an optimized crystal structure of LiTb2Tl3.

For the total magnetic moment, the calculation gives 0.1 μB per formula unit.

It has space group Cmcm (No. 63), with a = 3.449 Å, b = 28.489 Å, c = 6.628 Å, α = 90.00°, β = 90.00° and γ = 90.00°. The distinct sites, in fractional coordinates, are Li at (0.000, 0.159, 0.250), Tb at (0.000, 0.339, 0.250), Tb at (0.000, 0.495, 0.750), Tl at (0.000, 0.081, 0.508) and Tl at (0.000, 0.260, 0.750).

=====

Most stable: a (next structure +138 meV/atom)

=====

## a
DFT (PBE) results for an optimized crystal structure of LiTbTm2.

For the total magnetic moment, the calculation gives 0.0 μB per formula unit.

It has space group Fm-3m (No. 225), with a = 7.675 Å, b = 7.675 Å, c = 7.675 Å, α = 90.00°, β = 90.00° and γ = 90.00°. The distinct sites, in fractional coordinates, are Li at (0.000, 0.000, 0.000), Tb at (0.000, 0.000, 0.500) and Tm at (0.250, 0.250, 0.250).

=====

## b
DFT (PBE) results for an optimized crystal structure of LiTbTm2.

For the total magnetic moment, the calculation gives 0.0 μB per formula unit.

It has space group P4/mmm (No. 123), with a = 5.521 Å, b = 5.521 Å, c = 3.722 Å, α = 90.00°, β = 90.00° and γ = 90.00°. The distinct sites, in fractional coordinates, are Li at (0.000, 0.000, 0.000), Tb at (0.500, 0.500, 0.000) and Tm at (0.000, 0.500, 0.500).

=====

## c
DFT (PBE) results for an optimized crystal structure of LiTbTm2.

For the total magnetic moment, the calculation gives 0.0 μB per formula unit.

It has space group R3m (No. 160, hexagonal axes), with a = 3.4753 Å, b = 3.4753 Å, c = 33.1928 Å, α = 90.00°, β = 90.00° and γ = 120.00°. The distinct sites, in fractional coordinates, are Li at (0.0000, 0.0000, 0.0000), Tb at (0.0000, 0.0000, 0.1664), Tm at (0.0000, 0.0000, 0.4145) and Tm at (0.0000, 0.0000, 0.5851).

=====

Most stable: c (next structure +66 meV/atom)

=====

## a
DFT (PBE) results for an optimized crystal structure of LiTbTm2.

For the total magnetic moment, the calculation gives 0.0 μB per formula unit.

It has space group R-3m (No. 166, hexagonal axes), with a = 3.4283 Å, b = 3.4283 Å, c = 36.0423 Å, α = 90.00°, β = 90.00° and γ = 120.00°. The distinct sites, in fractional coordinates, are Li at (0.0000, 0.0000, 0.0000), Tb at (0.0000, 0.0000, 0.5000) and Tm at (0.0000, 0.0000, 0.0884).

=====

## b
DFT (PBE) results for an optimized crystal structure of LiTbTm2.

For the total magnetic moment, the calculation gives 0.0 μB per formula unit.

It has space group P4/mmm (No. 123), with a = 3.564 Å, b = 3.564 Å, c = 8.752 Å, α = 90.00°, β = 90.00° and γ = 90.00°. The distinct sites, in fractional coordinates, are Li at (0.000, 0.000, 0.000), Tb at (0.000, 0.000, 0.500) and Tm at (0.500, 0.500, 0.221).

=====

Most stable: b (next structure +118 meV/atom)

=====

## a
DFT (PBE) results for an optimized crystal structure of Li2TbTm.

For the total magnetic moment, the calculation gives 0.0 μB per formula unit.

It has space group Fm-3m (No. 225), with a = 7.382 Å, b = 7.382 Å, c = 7.382 Å, α = 90.00°, β = 90.00° and γ = 90.00°. The distinct sites, in fractional coordinates, are Li at (0.250, 0.250, 0.250), Tb at (0.000, 0.000, 0.000) and Tm at (0.000, 0.000, 0.500).

=====

## b
DFT (PBE) results for an optimized crystal structure of Li2TbTm.

For the total magnetic moment, the calculation gives 0.0 μB per formula unit.

It has space group R-3m (No. 166, hexagonal axes), with a = 3.2973 Å, b = 3.2973 Å, c = 35.2556 Å, α = 90.00°, β = 90.00° and γ = 120.00°. The distinct sites, in fractional coordinates, are Li at (0.0000, 0.0000, 0.0877), Tb at (0.0000, 0.0000, 0.5000) and Tm at (0.0000, 0.0000, 0.0000).

=====

Most stable: a (next structure +137 meV/atom)

=====

## a
DFT (PBE) results for an optimized crystal structure of LiTbY.

For the total magnetic moment, the calculation gives 0.0 μB per formula unit.

It has space group P4/nmm (No. 129, origin choice 2), with a = 3.614 Å, b = 3.614 Å, c = 12.869 Å, α = 90.00°, β = 90.00° and γ = 90.00°. The distinct sites, in fractional coordinates, are Li at (0.250, 0.250, 0.051), Tb at (0.250, 0.250, 0.785) and Y at (0.250, 0.250, 0.401).

=====

## b
DFT (PBE) results for an optimized crystal structure of LiTbY.

For the total magnetic moment, the calculation gives 0.0 μB per formula unit.

It has space group P4/nmm (No. 129, origin choice 2), with a = 3.618 Å, b = 3.618 Å, c = 12.814 Å, α = 90.00°, β = 90.00° and γ = 90.00°. The distinct sites, in fractional coordinates, are Li at (0.250, 0.250, 0.051), Tb at (0.250, 0.250, 0.402) and Y at (0.250, 0.250, 0.785).

=====

Most stable: b (next structure +6 meV/atom)

=====

## a
DFT (PBE) results for an optimized crystal structure of LiTbY.

For the total magnetic moment, the calculation gives 0.0 μB per formula unit.

It has space group I4mm (No. 107), with a = 3.651 Å, b = 3.651 Å, c = 12.615 Å, α = 90.00°, β = 90.00° and γ = 90.00°. The distinct sites, in fractional coordinates, are Li at (0.000, 0.000, 0.000), Tb at (0.000, 0.000, 0.654) and Y at (0.000, 0.000, 0.346).

=====

## b
DFT (PBE) results for an optimized crystal structure of LiTbY.

For the total magnetic moment, the calculation gives 0.0 μB per formula unit.

It has space group P3m1 (No. 156), with a = 3.4898 Å, b = 3.4898 Å, c = 8.3395 Å, α = 90.00°, β = 90.00° and γ = 120.00°. The distinct sites, in fractional coordinates, are Li at (0.0000, 0.0000, 0.0000), Tb at (0.6667, 0.3333, 0.3302) and Y at (0.3333, 0.6667, 0.6707).

=====

Most stable: a (next structure +29 meV/atom)

=====

## a
DFT (PBE) results for an optimized crystal structure of Li2TbY.

For the total magnetic moment, the calculation gives 0.0 μB per formula unit.

It has space group R-3m (No. 166, hexagonal axes), with a = 3.3298 Å, b = 3.3298 Å, c = 35.4205 Å, α = 90.00°, β = 90.00° and γ = 120.00°. The distinct sites, in fractional coordinates, are Li at (0.0000, 0.0000, 0.0885), Tb at (0.0000, 0.0000, 0.5000) and Y at (0.0000, 0.0000, 0.0000).

=====

## b
DFT (PBE) results for an optimized crystal structure of Li2TbY.

For the total magnetic moment, the calculation gives 0.0 μB per formula unit.

It has space group P4/mmm (No. 123), with a = 3.720 Å, b = 3.720 Å, c = 7.448 Å, α = 90.00°, β = 90.00° and γ = 90.00°. The distinct sites, in fractional coordinates, are Li at (0.000, 0.000, 0.249), Tb at (0.500, 0.500, 0.000) and Y at (0.500, 0.500, 0.500).

=====

Most stable: b (next structure +150 meV/atom)

=====

## a
DFT (PBE) results for an optimized crystal structure of LiTb2Y.

For the total magnetic moment, the calculation gives 0.0 μB per formula unit.

It has space group R-3m (No. 166, hexagonal axes), with a = 3.4757 Å, b = 3.4757 Å, c = 36.5705 Å, α = 90.00°, β = 90.00° and γ = 120.00°. The distinct sites, in fractional coordinates, are Li at (0.0000, 0.0000, 0.0000), Tb at (0.0000, 0.0000, 0.0887) and Y at (0.0000, 0.0000, 0.5000).

=====

## b
DFT (PBE) results for an optimized crystal structure of LiTb2Y.

For the total magnetic moment, the calculation gives 0.0 μB per formula unit.

It has space group Fm-3m (No. 225), with a = 7.784 Å, b = 7.784 Å, c = 7.784 Å, α = 90.00°, β = 90.00° and γ = 90.00°. The distinct sites, in fractional coordinates, are Li at (0.000, 0.000, 0.000), Tb at (0.250, 0.250, 0.250) and Y at (0.000, 0.000, 0.500).

=====

Most stable: a (next structure +10 meV/atom)

=====

## a
DFT (PBE) results for an optimized crystal structure of LiTb2Y.

For the total magnetic moment, the calculation gives 0.0 μB per formula unit.

It has space group R3m (No. 160, hexagonal axes), with a = 3.5143 Å, b = 3.5143 Å, c = 33.7273 Å, α = 90.00°, β = 90.00° and γ = 120.00°. The distinct sites, in fractional coordinates, are Li at (0.0000, 0.0000, 0.0000), Tb at (0.0000, 0.0000, 0.2520), Tb at (0.0000, 0.0000, 0.4149) and Y at (0.0000, 0.0000, 0.8335).

=====

## b
DFT (PBE) results for an optimized crystal structure of LiTb2Y.

For the total magnetic moment, the calculation gives 0.0 μB per formula unit.

It has space group P4/mmm (No. 123), with a = 5.606 Å, b = 5.606 Å, c = 3.769 Å, α = 90.00°, β = 90.00° and γ = 90.00°. The distinct sites, in fractional coordinates, are Li at (0.000, 0.000, 0.000), Tb at (0.000, 0.500, 0.500) and Y at (0.500, 0.500, 0.000).

=====

Most stable: a (next structure +63 meV/atom)

=====

## a
DFT (PBE) results for an optimized crystal structure of LiTbZn.

For the total magnetic moment, the calculation gives 0.0 μB per formula unit.

It has space group I4mm (No. 107), with a = 3.664 Å, b = 3.664 Å, c = 9.465 Å, α = 90.00°, β = 90.00° and γ = 90.00°. The distinct sites, in fractional coordinates, are Li at (0.000, 0.000, 0.000), Tb at (0.000, 0.000, 0.308) and Zn at (0.000, 0.000, 0.637).

=====

## b
DFT (PBE) results for an optimized crystal structure of LiTbZn.

For the total magnetic moment, the calculation gives 0.0 μB per formula unit.

It has space group P3m1 (No. 156), with a = 4.7581 Å, b = 4.7581 Å, c = 3.1958 Å, α = 90.00°, β = 90.00° and γ = 120.00°. The distinct sites, in fractional coordinates, are Li at (0.0000, 0.0000, 0.0000), Tb at (0.6667, 0.3333, 0.4988) and Zn at (0.3333, 0.6667, 0.9981).

=====

## c
DFT (PBE) results for an optimized crystal structure of LiTbZn.

For the total magnetic moment, the calculation gives 0.0 μB per formula unit.

It has space group P4/nmm (No. 129, origin choice 2), with a = 3.429 Å, b = 3.429 Å, c = 11.064 Å, α = 90.00°, β = 90.00° and γ = 90.00°. The distinct sites, in fractional coordinates, are Li at (0.250, 0.250, 0.077), Tb at (0.250, 0.250, 0.379) and Zn at (0.250, 0.250, 0.797).

=====

Most stable: b (next structure +5 meV/atom)

=====

## a
DFT (PBE) results for an optimized crystal structure of LiTbZn4.

For the total magnetic moment, the calculation gives 0.0 μB per formula unit.

It has space group Cmcm (No. 63), with a = 6.468 Å, b = 15.536 Å, c = 4.362 Å, α = 90.00°, β = 90.00° and γ = 90.00°. The distinct sites, in fractional coordinates, are Li at (0.000, 0.141, 0.250), Tb at (0.000, 0.389, 0.750), Zn at (0.205, 0.044, 0.750) and Zn at (0.235, 0.209, 0.750).

=====

## b
DFT (PBE) results for an optimized crystal structure of LiTbZn4.

For the total magnetic moment, the calculation gives 0.0 μB per formula unit.

It has space group Cmcm (No. 63), with a = 4.043 Å, b = 16.105 Å, c = 6.583 Å, α = 90.00°, β = 90.00° and γ = 90.00°. The distinct sites, in fractional coordinates, are Li at (0.000, 0.233, 0.250), Tb at (0.000, 0.112, 0.750), Zn at (0.000, 0.075, 0.250), Zn at (0.000, 0.331, 0.556) and Zn at (0.000, 0.500, 0.000).

=====

Most stable: a (next structure +67 meV/atom)